A plane-wave DFT calculation with GGA-PBE was carried out for a geometry-optimized YZrTlFe2 structure.

Summary:
The total energy is -5.368 eV/atom. The total magnetization is 3.94 μB/f.u. As for the density of states at the Fermi level: 1.07 states/eV per atom. The crystal system is tetragonal.

Cell lengths 4.5824, 5.3562, 4.5824 Å; angles 90.00, 90.00, 90.00 degrees
Closest atoms and distances in Å follow each position.
Positions (direct):
1 Fe 0.5000 0.0000 0.0000  2 Y 2.29
2 Zr 0.0000 0.5000 0.0000  2 Y 2.68
3 Y 0.0000 0.0000 0.0000  4 Fe 2.29
4 Tl 0.5000 0.5000 0.5000  4 Zr 3.24, 8 Fe 3.52
5 Fe 0.0000 0.0000 0.5000  2 Y 2.29

A plane-wave DFT calculation with GGA-PBE was carried out for a geometry-optimized Tl2ZnFe structure.

Summary:
The total energy is -3.081 eV/atom. The total magnetization is 2.68 μB/f.u. As for the density of states at the Fermi level: 0.98 states/eV per atom. The crystal system is tetragonal.

Cell lengths 3.1223, 3.1223, 8.6024 Å; angles 90.00, 90.00, 90.00 degrees
Closest atoms and distances in Å follow each position.
Positions (direct):
1 Tl 0.0000 0.0000 0.9800  4 Fe 2.96, 4 Tl 3.12, 4 Zn 3.20
2 Fe 0.5000 0.5000 0.7500  8 Tl 2.96, 4 Fe 3.12
3 Tl 0.0000 0.0000 0.5200  4 Fe 2.96, 4 Tl 3.12, 4 Zn 3.20
4 Zn 0.5000 0.5000 0.2500  4 Zn 3.12, 8 Tl 3.20

A plane-wave DFT calculation with GGA-PBE was carried out for a geometry-optimized Tl2ZnFe structure.

Summary:
The total energy is -3.130 eV/atom. The total magnetization is 2.92 μB/f.u. As for the density of states at the Fermi level: 0.47 states/eV per atom. The crystal system is trigonal.

Cell lengths 9.2532, 9.2532, 9.2532 Å; angles 20.36, 20.36, 20.36 degrees
Closest atoms and distances in Å follow each position.
Positions (direct):
1 Tl 0.0029 0.0029 0.0029  3 Fe 2.89, 3 Zn 3.01
2 Tl 0.4971 0.4971 0.4971  3 Fe 2.89, 3 Zn 3.01
3 Fe 0.7500 0.7500 0.7500  6 Tl 2.89
4 Zn 0.2500 0.2500 0.2500  6 Tl 3.01, 6 Zn 3.27

Please write out number 3 again, unchanged.
A plane-wave DFT calculation with GGA-PBE was carried out for a geometry-optimized Tl2ZnFe structure.

Summary:
The total energy is -3.130 eV/atom. The total magnetization is 2.92 μB/f.u. As for the density of states at the Fermi level: 0.47 states/eV per atom. The crystal system is trigonal.

Cell lengths 9.2532, 9.2532, 9.2532 Å; angles 20.36, 20.36, 20.36 degrees
Closest atoms and distances in Å follow each position.
Positions (direct):
1 Tl 0.0029 0.0029 0.0029  3 Fe 2.89, 3 Zn 3.01
2 Tl 0.4971 0.4971 0.4971  3 Fe 2.89, 3 Zn 3.01
3 Fe 0.7500 0.7500 0.7500  6 Tl 2.89
4 Zn 0.2500 0.2500 0.2500  6 Tl 3.01, 6 Zn 3.27